A plane-wave DFT calculation with PBE was carried out for crystalline TiTlIr2 at its relaxed geometry.

Output
ΔH_f (0 K) ... -89 meV/atom
Theoretical density ... 15848 kg/m³
Distance to the lowest polymorph of the same formula ... 0.0000 eV per atom
Space-group type ... Fm-3m, No. 225
Size of the total moment ... 0.21 μB/atom

Cell: 4.552 4.552 4.552 Å, 60.00 60.00 60.00°
Fractional positions:
Ti 0.000 0.000 0.000
Tl 0.500 0.500 0.500
Ir 0.250 0.250 0.250
Ir 0.750 0.750 0.750

---

A plane-wave DFT calculation with PBE was carried out for crystalline ZrCrTe2 at its relaxed geometry.

Output
Theoretical density ... 7197 kg/m³
Distance to the lowest polymorph of the same formula ... 0.3960 eV per atom
Space-group type ... I-4m2, No. 119
Size of the total moment ... 1.02 μB/atom
Raw formation energy ... -0.03 eV per atom

Cell: 6.090 6.090 6.090 Å, 140.16 140.16 57.61°
Fractional positions:
Zr 0.000 0.000 0.000
Cr 0.250 0.750 0.500
Te 0.500 0.500 0.000
Te 0.750 0.250 0.500

---

A plane-wave DFT calculation with PBE was carried out for crystalline Tl12InAu7 at its relaxed geometry.

Output
ΔH_f (0 K) ... -10 meV/atom
Theoretical density ... 12101 kg/m³
Space-group type ... R-3, No. 148
Size of the total moment ... 0.00 μB/atom

Cell: 10.385 10.385 10.385 Å, 116.36 116.36 116.36°
Fractional positions:
Tl 0.029 0.432 0.613
Tl 0.080 0.090 0.412
Tl 0.090 0.412 0.080
Tl 0.387 0.971 0.568
Tl 0.412 0.080 0.090
Tl 0.432 0.613 0.029
Tl 0.568 0.387 0.971
Tl 0.588 0.920 0.910
Tl 0.613 0.029 0.432
Tl 0.910 0.588 0.920
Tl 0.920 0.910 0.588
Tl 0.971 0.568 0.387
In 0.500 0.500 0.500
Au 0.000 0.000 0.000
Au 0.119 0.374 0.365
Au 0.365 0.119 0.374
Au 0.374 0.365 0.119
Au 0.626 0.635 0.881
Au 0.635 0.881 0.626
Au 0.881 0.626 0.635

---

A plane-wave DFT calculation with PBE was carried out for crystalline VFe2Ni7 at its relaxed geometry.

Output
ΔH_f (0 K) ... 377 meV/atom
Theoretical density ... 7325 kg/m³
Space-group type ... Cmmm, No. 65
Size of the total moment ... 0.78 μB/atom

Cell: 7.908 7.908 2.459 Å, 90.00 90.00 122.29°
Fractional positions:
V 0.000 0.000 0.000
Fe 0.326 0.674 0.500
Fe 0.674 0.326 0.500
Ni 0.138 0.323 0.500
Ni 0.178 0.822 0.000
Ni 0.323 0.138 0.500
Ni 0.500 0.500 0.500
Ni 0.677 0.862 0.500
Ni 0.822 0.178 0.000
Ni 0.862 0.677 0.500

---

A plane-wave DFT calculation with PBE was carried out for crystalline BaIr2Br at its relaxed geometry.

Output
Theoretical density ... 9367 kg/m³
Distance to the lowest polymorph of the same formula ... 0.1136 eV per atom
Space-group type ... P4mm, No. 99
Size of the total moment ... 0.00 μB/atom
Raw formation energy ... -0.08 eV per atom

Cell: 3.545 3.545 8.489 Å, 90.00 90.00 90.00°
Fractional positions:
Ba 0.000 0.000 0.000
Ir 0.000 0.000 0.630
Ir 0.500 0.500 0.707
Br 0.500 0.500 0.233

---

A plane-wave DFT calculation with PBE was carried out for crystalline Tb4Nd3ErS8 at its relaxed geometry.

Output
Theoretical density ... 6970 kg/m³
Space-group type ... R-3m, No. 166
Size of the total moment ... 0.00 μB/atom
Raw formation energy ... -2.00 eV per atom

Cell: 7.962 7.962 7.962 Å, 59.83 59.83 59.83°
Fractional positions:
Tb 0.000 0.000 0.000
Tb 0.000 0.500 0.500
Tb 0.500 0.000 0.500
Tb 0.500 0.500 0.000
Nd 0.000 0.000 0.500
Nd 0.000 0.500 0.000
Nd 0.500 0.000 0.000
Er 0.500 0.500 0.500
S 0.252 0.252 0.739
S 0.252 0.739 0.252
S 0.255 0.255 0.255
S 0.261 0.748 0.748
S 0.739 0.252 0.252
S 0.745 0.745 0.745
S 0.748 0.261 0.748
S 0.748 0.748 0.261

---

A plane-wave DFT calculation with PBE was carried out for crystalline NaAuN at its relaxed geometry.

Output
Theoretical density ... 7089 kg/m³
Space-group type ... P2_1, No. 4
Size of the total moment ... 0.33 μB/atom
Raw formation energy ... 0.68 eV per atom

Cell: 3.543 3.613 8.743 Å, 90.00 101.65 90.00°
Fractional positions:
Na 0.184 0.000 0.366
Na 0.816 0.500 0.634
Au 0.441 0.999 0.884
Au 0.559 0.499 0.116
N 0.329 0.001 0.658
N 0.671 0.501 0.342

---

A plane-wave DFT calculation with PBE was carried out for crystalline In2SnHg4Pb2 at its relaxed geometry.

Output
ΔH_f (0 K) ... 23 meV/atom
Theoretical density ... 10273 kg/m³
Space-group type ... P3m1, No. 156
Size of the total moment ... 0.00 μB/atom

Cell: 3.433 3.433 24.792 Å, 90.00 90.00 120.00°
Fractional positions:
In 0.000 0.000 0.000
In 0.333 0.667 0.317
Sn 0.333 0.667 0.665
Hg 0.000 0.000 0.211
Hg 0.000 0.000 0.423
Hg 0.333 0.667 0.108
Hg 0.333 0.667 0.895
Pb 0.000 0.000 0.548
Pb 0.000 0.000 0.781

---

A plane-wave DFT calculation with PBE was carried out for crystalline FeOs2Br at its relaxed geometry.

Output
Theoretical density ... 14998 kg/m³
Distance to the lowest polymorph of the same formula ... 0.7193 eV per atom
Space-group type ... Fm-3m, No. 225
Size of the total moment ... 0.00 μB/atom
Raw formation energy ... 1.39 eV per atom

Cell: 4.324 4.324 4.324 Å, 60.00 60.00 60.00°
Fractional positions:
Fe 0.000 0.000 0.000
Os 0.250 0.250 0.250
Os 0.750 0.750 0.750
Br 0.500 0.500 0.500

---

A plane-wave DFT calculation with PBE was carried out for crystalline In3SbS6 at its relaxed geometry.

Output
Theoretical density ... 4618 kg/m³
Distance to the lowest polymorph of the same formula ... 0.0434 eV per atom
Space-group type ... P2_1/m, No. 11
Size of the total moment ... 0.00 μB/atom
Raw formation energy ... -0.41 eV per atom

Cell: 11.205 3.817 12.225 Å, 90.00 115.05 90.00°
Fractional positions:
In 0.049 0.250 0.192
In 0.223 0.750 0.458
In 0.319 0.250 0.889
In 0.681 0.750 0.111
In 0.777 0.250 0.542
In 0.951 0.750 0.808
Sb 0.486 0.250 0.260
Sb 0.514 0.750 0.740
S 0.056 0.250 0.405
S 0.113 0.250 0.928
S 0.229 0.750 0.248
S 0.282 0.750 0.735
S 0.415 0.250 0.567
S 0.434 0.750 0.080
S 0.566 0.250 0.920
S 0.585 0.750 0.433
S 0.718 0.250 0.265
S 0.771 0.250 0.752
S 0.887 0.750 0.072
S 0.944 0.750 0.595

---

A plane-wave DFT calculation with PBE was carried out for crystalline Tb4In2Ru at its relaxed geometry.

Output
ΔH_f (0 K) ... -388 meV/atom
Theoretical density ... 8453 kg/m³
Distance to the lowest polymorph of the same formula ... 0.0000 eV per atom
Space-group type ... C2/m, No. 12
Size of the total moment ... 0.00 μB/atom

Cell: 6.117 6.117 8.775 Å, 123.06 123.06 45.85°
Fractional positions:
Tb 0.071 0.071 0.358
Tb 0.333 0.333 0.948
Tb 0.667 0.667 0.052
Tb 0.929 0.929 0.642
In 0.341 0.341 0.325
In 0.659 0.659 0.675
Ru 0.000 0.000 0.000

---

A plane-wave DFT calculation with PBE was carried out for crystalline K2In3Hg at its relaxed geometry.

Output
ΔH_f (0 K) ... -181 meV/atom
Theoretical density ... 5266 kg/m³
Space-group type ... Cm, No. 8
Size of the total moment ... 0.00 μB/atom

Cell: 6.552 6.552 8.615 Å, 128.64 128.64 46.40°
Fractional positions:
K 0.000 0.000 0.000
K 0.134 0.134 0.643
In 0.405 0.405 0.231
In 0.731 0.731 0.059
In 0.731 0.731 0.412
Hg 0.415 0.415 0.611